CrRe4Tc after structural relaxation, computed with GGA-PBE.

abc: 5.1099 5.1099 5.1099
angles: 60.00 60.00 60.00
Sites, in units of the cell vectors:
Re 0.3741 0.3741 0.3741
Re 0.3741 0.3741 0.8778
Re 0.3741 0.8778 0.3741
Re 0.8778 0.3741 0.3741
Cr 0.0000 0.0000 0.0000
Tc 0.7500 0.7500 0.7500

SG: F-43m
Magnetic moment (Bohr magnetons per cell): 1.26
Energy (eV per atom): -11.24
Calculated volume (Å³/f.u.): 94.3
Offset from the most stable computed form (meV/atom): 0

---

HfZrFe10 after structural relaxation, computed with GGA-PBE.

abc: 3.9647 4.8361 8.3443
angles: 90.00 90.00 90.00
Sites, in units of the cell vectors:
Zr 0.0000 0.0000 0.0000
Fe 0.5000 0.0000 0.5000
Fe 0.0000 0.0000 0.6653
Fe 0.5000 0.2510 0.7484
Fe 0.5000 0.2510 0.2516
Fe 0.5000 0.5000 0.0000
Fe 0.0000 0.5000 0.1677
Fe 0.5000 0.7490 0.7484
Fe 0.0000 0.5000 0.8323
Fe 0.0000 0.0000 0.3347
Fe 0.5000 0.7490 0.2516
Hf 0.0000 0.5000 0.5000

SG: Pmmm
Magnetic moment (Bohr magnetons per cell): 18.67
Energy (eV per atom): -8.68
Calculated volume (Å³/f.u.): 160.0

---

LaPmCd2 after structural relaxation, computed with GGA-PBE.

abc: 5.4945 5.4945 5.4945
angles: 60.00 60.00 60.00
Sites, in units of the cell vectors:
La 0.5000 0.5000 0.5000
Cd 0.7500 0.7500 0.7500
Cd 0.2500 0.2500 0.2500
Pm 0.0000 0.0000 0.0000

SG: Fm-3m
Magnetic moment (Bohr magnetons per cell): 0.81
Energy (eV per atom): -3.20
Calculated volume (Å³/f.u.): 117.3
Offset from the most stable computed form (meV/atom): 0

---

MgSc2N after structural relaxation, computed with GGA-PBE.

abc: 3.2217 4.6027 9.5791
angles: 90.00 99.68 90.00
Sites, in units of the cell vectors:
Sc 0.6251 0.7500 0.2502
Sc 0.2138 0.2500 0.4275
Sc 0.7862 0.7500 0.5725
Sc 0.3749 0.2500 0.7498
Mg 0.0441 0.2500 0.0882
Mg 0.9559 0.7500 0.9118
N 0.2045 0.7500 0.4089
N 0.7955 0.2500 0.5911

SG: Cmcm
Magnetic moment (Bohr magnetons per cell): 0.00
ΔE_f (raw) (eV/atom): -0.96
Energy (eV per atom): -6.61
Calculated volume (Å³/f.u.): 70.0
Offset from the most stable computed form (meV/atom): 0

---

SrInS3 after structural relaxation, computed with GGA-PBE.

abc: 5.6742 5.6742 5.6742
angles: 90.00 90.00 90.00
Sites, in units of the cell vectors:
S 0.5000 0.0000 0.0000
S 0.0000 0.0000 0.5000
S 0.0000 0.5000 0.0000
In 0.5000 0.5000 0.5000
Sr 0.0000 0.0000 0.0000

SG: Pm-3m
Magnetic moment (Bohr magnetons per cell): 3.01
ΔE_f (raw) (eV/atom): 0.00
Energy (eV per atom): -3.36
Calculated volume (Å³/f.u.): 182.7
Offset from the most stable computed form (meV/atom): 721

---

P2HSCl after structural relaxation, computed with GGA-PBE.

abc: 4.4589 4.4589 3.5968
angles: 90.00 90.00 90.00
Sites, in units of the cell vectors:
S 0.0000 0.0000 0.5000
Cl 0.5000 0.5000 0.5000
P 0.0000 0.5000 0.0000
P 0.5000 0.0000 0.0000
H 0.0000 0.0000 0.0000

SG: P4/mmm
Magnetic moment (Bohr magnetons per cell): 0.00
Energy (eV per atom): -3.00
Calculated volume (Å³/f.u.): 71.5
Offset from the most stable computed form (meV/atom): 0

---

Np2Al17 after structural relaxation, computed with GGA-PBE.

abc: 7.0135 7.0135 7.0135
angles: 82.91 82.91 82.91
Sites, in units of the cell vectors:
Np 0.3315 0.3315 0.3315
Np 0.6685 0.6685 0.6685
Al 0.3014 0.6986 0.0000
Al 0.1597 0.6473 0.6473
Al 0.0000 0.3014 0.6986
Al 0.8403 0.3527 0.3527
Al 0.0000 0.5000 0.0000
Al 0.0981 0.0981 0.0981
Al 0.6986 0.0000 0.3014
Al 0.0000 0.6986 0.3014
Al 0.3527 0.3527 0.8403
Al 0.6473 0.1597 0.6473
Al 0.6986 0.3014 0.0000
Al 0.3014 0.0000 0.6986
Al 0.5000 0.0000 0.0000
Al 0.9019 0.9019 0.9019
Al 0.3527 0.8403 0.3527
Al 0.6473 0.6473 0.1597
Al 0.0000 0.0000 0.5000

SG: R-3m
Magnetic moment (Bohr magnetons per cell): 8.11
Energy (eV per atom): -4.71
Calculated volume (Å³/f.u.): 337.7

---

PrErPb2 after structural relaxation, computed with GGA-PBE.

abc: 4.5904 4.5092 6.3486
angles: 90.00 111.13 90.00
Sites, in units of the cell vectors:
Pb 0.1801 0.5000 0.9017
Pb 0.9847 0.0000 0.5059
Er 0.4536 0.5000 0.4441
Pr 0.7126 0.0000 0.9664

SG: Pm
Magnetic moment (Bohr magnetons per cell): 0.00
Energy (eV per atom): -4.68
Calculated volume (Å³/f.u.): 122.6